Record 1
# Pa4GeSb2P | the Alexandria database | GGA-PBE | relaxed
# D(E_F) ... 12.4 states/eV/f.u.
# Calculated total energy ... -0.566 Ry/atom
data_Pa4GeSb2P
_chemical_formula_sum 'Pa4 Ge1 Sb2 P1'
_symmetry_space_group_name_H-M 'P 1 2/m 1'
_symmetry_Int_Tables_number 10
_cell_length_a 7.1819
_cell_length_b 4.1490
_cell_length_c 7.4421
_cell_angle_alpha 90.00
_cell_angle_beta 108.77
_cell_angle_gamma 90.00
loop_
_symmetry_equiv_pos_as_xyz
'x,y,z'
'-x,-y,-z'
'-x,y,-z'
'x,-y,z'
loop_
_atom_site_label
_atom_site_type_symbol
_atom_site_fract_x
_atom_site_fract_y
_atom_site_fract_z
Pa1 Pa 0.2305 0.0000 0.2163
Pa2 Pa 0.2508 0.5000 0.7791
Ge1 Ge 0.5000 0.0000 0.0000
Sb1 Sb 0.0000 0.0000 0.5000
Sb2 Sb 0.5000 0.5000 0.5000
P1 P 0.0000 0.5000 0.0000


Record 2
# Pa4GeP2Se | the Alexandria database | GGA-PBE | relaxed
# D(E_F) ... 9.9 states/eV/f.u.
# Calculated total energy ... -0.604 Ry/atom
data_Pa4GeP2Se
_chemical_formula_sum 'Pa4 Ge1 P2 Se1'
_symmetry_space_group_name_H-M 'P 1 2/m 1'
_symmetry_Int_Tables_number 10
_cell_length_a 6.9363
_cell_length_b 4.0208
_cell_length_c 7.0637
_cell_angle_alpha 90.00
_cell_angle_beta 109.22
_cell_angle_gamma 90.00
loop_
_symmetry_equiv_pos_as_xyz
'x,y,z'
'-x,-y,-z'
'-x,y,-z'
'x,-y,z'
loop_
_atom_site_label
_atom_site_type_symbol
_atom_site_fract_x
_atom_site_fract_y
_atom_site_fract_z
Pa1 Pa 0.2428 0.0000 0.2337
Pa2 Pa 0.2532 0.5000 0.7645
Ge1 Ge 0.0000 0.0000 0.5000
P1 P 0.0000 0.5000 0.0000
P2 P 0.5000 0.0000 0.0000
Se1 Se 0.5000 0.5000 0.5000


Which of these has the lowest calculated total energy? Pa4GeP2Se


The lowest D(E_F) belongs to which entry? Pa4GeP2Se


Which of these has the lowest D(E_F)? Pa4GeP2Se


Which formula does entry 1 have? Pa4GeSb2P